1.
Computed, not measured: a relaxed structure of AlNi2Pb at the PBE-GGA level of DFT.

Energy above the lowest structure with this stoichiometry = 192 meV per atom
Formation energy = 74 meV/atom
Magnetic moment = 0.0000 μB per atom

Cell: 3.8068 3.8068 8.4393 Å, 90.00 90.00 90.00°
Closest atoms and distances in Å follow each position.
Space group I-4m2 (No. 119)
One atom of each set of equivalent atoms:
1 Al 0.0000 0.0000 0.0000  8 Ni 2.69-2.84, 4 Pb 2.84
2 Ni 0.0000 0.0000 0.5000  4 Al 2.69, 4 Pb 2.84, 4 Ni 2.84
3 Ni 0.0000 0.5000 0.7500  4 Pb 2.69, 4 Ni 2.84, 4 Al 2.84
4 Pb 0.0000 0.5000 0.2500  8 Ni 2.69-2.84, 4 Al 2.84

2.
Computed, not measured: a relaxed structure of AlNi4Pb at the PBE-GGA level of DFT.

Formation energy = 17 meV/atom
Magnetic moment = 0.0000 μB per atom

Cell: 6.9173 6.9173 6.9173 Å, 90.00 90.00 90.00°
Closest atoms and distances in Å follow each position.
Space group F-43m (No. 216)
One atom of each set of equivalent atoms:
1 Al 0.0000 0.0000 0.0000  12 Ni 2.87, 4 Pb 3.00
2 Ni 0.1258 0.1258 0.6258  6 Ni 2.43-2.46
3 Pb 0.2500 0.2500 0.2500  12 Ni 2.87, 4 Al 3.00

3.
Computed, not measured: a relaxed structure of AlNi2Pb at the PBE-GGA level of DFT.

Energy above the lowest structure with this stoichiometry = 151 meV per atom
Formation energy = 34 meV/atom
Magnetic moment = 0.0000 μB per atom

Cell: 7.7146 3.1772 5.5324 Å, 90.00 102.32 90.00°
Closest atoms and distances in Å follow each position.
Space group C2/m (No. 12)
One atom of each set of equivalent atoms:
1 Al 0.0000 0.0000 0.0000  6 Ni 2.44-2.45
2 Ni 0.2333 0.5000 0.1737  3 Al 2.44-2.45, 2 Ni 2.55
3 Pb 0.0000 0.5000 0.5000  6 Ni 2.81-2.90

4.
Computed, not measured: a relaxed structure of AlNi2Pb2 at the PBE-GGA level of DFT.

Formation energy = 132 meV/atom
Magnetic moment = 0.0000 μB per atom

Cell: 6.6728 6.6728 4.2292 Å, 90.00 90.00 90.00°
Closest atoms and distances in Å follow each position.
Space group P4/mbm (No. 127)
One atom of each set of equivalent atoms:
1 Al 0.0000 0.0000 0.0000  4 Ni 2.58
2 Ni 0.1397 0.3603 0.0000  2 Al 2.58, 1 Ni 2.64, 2 Pb 2.77
3 Pb 0.1701 0.6701 0.5000  6 Ni 2.77-2.96

5.
Computed, not measured: a relaxed structure of AlNi2Pb at the PBE-GGA level of DFT.

Energy above the lowest structure with this stoichiometry = 397 meV per atom
Formation energy = 280 meV/atom
Magnetic moment = 0.0000 μB per atom

Cell: 6.3200 6.3200 6.3200 Å, 90.00 90.00 90.00°
Closest atoms and distances in Å follow each position.
Space group F-43m (No. 216)
One atom of each set of equivalent atoms:
1 Al 0.0000 0.0000 0.0000  4 Pb 2.74, 4 Ni 2.74
2 Ni 0.0000 0.0000 0.5000  4 Ni 2.74, 4 Pb 2.74
3 Ni 0.2500 0.2500 0.2500  4 Al 2.74, 4 Ni 2.74
4 Pb 0.2500 0.2500 0.7500  4 Ni 2.74, 4 Al 2.74

6.
Computed, not measured: a relaxed structure of AlNi2Pb at the PBE-GGA level of DFT.

Energy above the lowest structure with this stoichiometry = 131 meV per atom
Formation energy = 13 meV/atom
Magnetic moment = 0.0000 μB per atom

Cell: 6.2294 6.2294 6.2294 Å, 90.00 90.00 90.00°
Closest atoms and distances in Å follow each position.
Space group Fm-3m (No. 225)
One atom of each set of equivalent atoms:
1 Al 0.0000 0.0000 0.0000  8 Ni 2.70
2 Ni 0.2500 0.2500 0.2500  4 Pb 2.70, 4 Al 2.70
3 Pb 0.0000 0.0000 0.5000  8 Ni 2.70

7.
Computed, not measured: a relaxed structure of AlNi2Pb at the PBE-GGA level of DFT.

Energy above the lowest structure with this stoichiometry = 136 meV per atom
Formation energy = 19 meV/atom
Magnetic moment = 0.0000 μB per atom

Cell: 3.3168 3.3548 5.6935 Å, 90.00 90.00 90.00°
Closest atoms and distances in Å follow each position.
Space group Pmm2 (No. 25)
One atom of each set of equivalent atoms:
1 Al 0.0000 0.0000 0.0000  5 Ni 2.34-2.49
2 Ni 0.0000 0.0000 0.4108  1 Al 2.34
3 Ni 0.5000 0.5000 0.1420  4 Al 2.49
4 Pb 0.5000 0.5000 0.6385  6 Ni 2.69-2.87

8.
Computed, not measured: a relaxed structure of AlNi2Pb at the PBE-GGA level of DFT.

Energy above the lowest structure with this stoichiometry = 161 meV per atom
Formation energy = 43 meV/atom
Magnetic moment = 0.0000 μB per atom

Cell: 4.3300 4.3300 3.2429 Å, 90.00 90.00 90.00°
Closest atoms and distances in Å follow each position.
Space group P4/mmm (No. 123)
One atom of each set of equivalent atoms:
1 Al 0.0000 0.0000 0.0000  8 Ni 2.70
2 Ni 0.0000 0.5000 0.5000  4 Pb 2.70, 4 Al 2.70
3 Pb 0.5000 0.5000 0.0000  8 Ni 2.70

9.
Computed, not measured: a relaxed structure of AlNi2Pb at the PBE-GGA level of DFT.

Energy above the lowest structure with this stoichiometry = 79 meV per atom
Formation energy = -38 meV/atom
Magnetic moment = 0.0000 μB per atom

Cell: 3.8684 3.2362 10.3837 Å, 90.00 90.00 90.00°
Closest atoms and distances in Å follow each position.
Space group Amm2 (No. 38)
One atom of each set of equivalent atoms:
1 Al 0.0000 0.0000 0.0000  6 Ni 2.49-2.55
2 Ni 0.0000 0.0000 0.6822  2 Ni 2.47, 2 Al 2.49, 4 Pb 2.72
3 Ni 0.5000 0.0000 0.5341  2 Ni 2.47, 4 Al 2.55, 1 Pb 2.65
4 Pb 0.5000 0.0000 0.2791  5 Ni 2.65-2.72

10.
Computed, not measured: a relaxed structure of AlNi2Pb at the PBE-GGA level of DFT.

Energy above the lowest structure with this stoichiometry = 234 meV per atom
Formation energy = 116 meV/atom
Magnetic moment = 0.0000 μB per atom

Cell: 3.0755 3.0755 23.8862 Å, 90.00 90.00 120.00°
Closest atoms and distances in Å follow each position.
Space group R-3m (No. 166, hexagonal axes)
One atom of each set of equivalent atoms:
1 Al 0.0000 0.0000 0.0000  6 Ni 2.48
2 Ni 0.0000 0.0000 0.2609  3 Al 2.48
3 Pb 0.0000 0.0000 0.5000  6 Ni 2.87, 6 Pb 3.08

11.
Computed, not measured: a relaxed structure of AlNi2Pb at the PBE-GGA level of DFT.

Energy above the lowest structure with this stoichiometry = 356 meV per atom
Formation energy = 239 meV/atom
Magnetic moment = 0.0000 μB per atom

Cell: 6.9368 6.9368 5.6197 Å, 90.00 90.00 90.00°
Closest atoms and distances in Å follow each position.
Space group I-42d (No. 122)
One atom of each set of equivalent atoms:
1 Al 0.0000 0.0000 0.0000  4 Ni 2.35
2 Ni 0.2061 0.2500 0.1250  2 Al 2.35
3 Pb 0.0000 0.0000 0.5000  8 Ni 2.77-3.08, 2 Al 2.81

12.
Computed, not measured: a relaxed structure of AlNi2Pb at the PBE-GGA level of DFT.

Energy above the lowest structure with this stoichiometry = 0 meV per atom
Formation energy = -117 meV/atom
Magnetic moment = 0.0000 μB per atom

Cell: 3.0651 3.0557 6.7989 Å, 90.00 98.44 90.00°
Closest atoms and distances in Å follow each position.
Space group P2/m (No. 10)
One atom of each set of equivalent atoms:
1 Al 0.0000 0.0000 0.0000  8 Ni 2.50-2.52
2 Ni 0.4322 0.5000 0.8103  4 Al 2.50-2.52, 1 Ni 2.55, 2 Pb 2.78
3 Pb 0.0000 0.0000 0.5000  4 Ni 2.78, 4 Pb 3.06-3.07